{
  "formula": "TiCuB",
  "functional": "PBE-GGA",
  "state": "relaxed",
  "sg": "Pnma",
  "cell": [[5.846, 0.000, 0.000], [0.000, 3.319, 0.000], [0.000, 0.000, 6.758]],
  "species": ["B", "B", "B", "B", "Cu", "Cu", "Cu", "Cu", "Ti", "Ti", "Ti", "Ti"],
  "frac_coords": [[0.752, 0.250, 0.871], [0.748, 0.750, 0.371], [0.248, 0.750, 0.129], [0.252, 0.250, 0.629], [0.855, 0.250, 0.556], [0.645, 0.750, 0.056], [0.145, 0.750, 0.444], [0.355, 0.250, 0.944], [0.469, 0.250, 0.324], [0.031, 0.750, 0.824], [0.531, 0.750, 0.676], [0.969, 0.250, 0.176]]
}

{
  "formula": "TiCuB",
  "functional": "PBE-GGA",
  "state": "relaxed",
  "sg": "Cm",
  "cell": [[-2.092, -5.984, -0.810], [0.851, -3.288, 2.843], [-2.898, 0.097, 0.980]],
  "species": ["B", "B", "Cu", "Cu", "Ti", "Ti"],
  "frac_coords": [[0.590, 0.518, 0.302], [0.524, 0.370, 0.835], [0.389, 0.957, 0.902], [0.219, 0.544, 0.487], [0.762, 0.908, 0.216], [0.925, 0.280, 0.634]]
}

{
  "formula": "TiCuB",
  "functional": "PBE-GGA",
  "state": "relaxed",
  "sg": "Pmma",
  "cell": [[-2.371, 3.922, 2.444], [-2.263, -2.200, 1.336], [2.368, -0.527, 3.143]],
  "species": ["B", "B", "Cu", "Cu", "Ti", "Ti"],
  "frac_coords": [[0.735, 0.831, 0.550], [0.735, 0.831, 0.050], [0.380, 0.831, 0.300], [0.090, 0.831, 0.800], [0.514, 0.331, 0.800], [0.955, 0.331, 0.300]]
}

{
  "formula": "Ti2CuB",
  "functional": "PBE-GGA",
  "state": "relaxed",
  "sg": "I-42d",
  "cell": [[6.508, 0.000, 0.000], [0.000, 6.508, 0.000], [3.254, 3.254, 2.592]],
  "species": ["B", "B", "Cu", "Cu", "Ti", "Ti", "Ti", "Ti"],
  "frac_coords": [[0.500, 0.500, 0.000], [0.250, 0.750, 0.500], [0.000, 0.000, 0.000], [0.750, 0.250, 0.500], [0.578, 0.125, 0.250], [0.172, 0.625, 0.250], [0.375, 0.422, 0.750], [0.875, 0.828, 0.750]]
}

{
  "formula": "TiTlCuB2",
  "functional": "PBE-GGA",
  "state": "relaxed",
  "sg": "P4/mmm",
  "cell": [[3.910, 0.000, 0.000], [0.000, 5.275, 0.000], [0.000, 0.000, 3.910]],
  "species": ["Tl", "B", "B", "Cu", "Ti"],
  "frac_coords": [[0.000, 0.500, 0.000], [0.000, 0.000, 0.500], [0.500, 0.000, 0.000], [0.000, 0.000, 0.000], [0.500, 0.500, 0.500]]
}

{
  "formula": "TiCuB2W",
  "functional": "PBE-GGA",
  "state": "relaxed",
  "sg": "P4/mmm",
  "cell": [[3.927, 0.000, 0.000], [0.000, 4.337, 0.000], [0.000, 0.000, 3.927]],
  "species": ["B", "B", "Cu", "W", "Ti"],
  "frac_coords": [[0.000, 0.000, 0.500], [0.500, 0.000, 0.000], [0.000, 0.500, 0.000], [0.500, 0.500, 0.500], [0.000, 0.000, 0.000]]
}

{
  "formula": "TlCuB",
  "functional": "PBE-GGA",
  "state": "relaxed",
  "polymorph_energy_ev_per_fu": 0.00,
  "sg": "P1",
  "cell": [[3.294, 0.026, 0.002], [-1.597, 3.582, -0.046], [-0.960, -1.780, 8.905]],
  "species": ["Tl", "Tl", "B", "B", "Cu", "Cu"],
  "frac_coords": [[0.867, 0.644, 0.274], [0.017, 0.295, 0.605], [0.991, 0.567, 0.936], [0.494, 0.570, 0.942], [0.437, 0.014, 0.832], [0.052, 0.126, 0.046]]
}

{
  "formula": "TlCuB",
  "functional": "PBE-GGA",
  "state": "relaxed",
  "polymorph_energy_ev_per_fu": 1.47,
  "sg": "Pm",
  "cell": [[2.841, 0.000, 0.119], [0.000, 3.056, 0.000], [-1.022, 0.000, 5.939]],
  "species": ["Tl", "B", "Cu"],
  "frac_coords": [[0.059, 0.000, 0.881], [0.044, 0.000, 0.382], [0.544, 0.500, 0.381]]
}

Number 1: energy of formation from the pure elements -0.373 eV/atom, spin magnetization 0.00 μB per formula unit, V 131 Å³/cell. Number 2: energy of formation from the pure elements -0.189 eV/atom, spin magnetization 0.00 μB per formula unit, V 69 Å³/cell. Number 3: energy of formation from the pure elements -0.149 eV/atom, spin magnetization 0.00 μB per formula unit, V 71 Å³/cell. Number 4: energy of formation from the pure elements 0.205 eV/atom, spin magnetization 0.00 μB per formula unit, V 110 Å³/cell. Number 5: energy of formation from the pure elements 1.239 eV/atom, spin magnetization 0.00 μB per formula unit, V 81 Å³/cell. Number 6: energy of formation from the pure elements 1.641 eV/atom, spin magnetization 0.00 μB per formula unit, V 67 Å³/cell. Number 7: energy of formation from the pure elements 0.253 eV/atom, spin magnetization 0.00 μB per formula unit, V 105 Å³/cell. Number 8: energy of formation from the pure elements 0.744 eV/atom, spin magnetization 0.00 μB per formula unit, V 52 Å³/cell.